1.
Material: K2NbBiN
Method: DFT, PBE
State: relaxed

Density of states at the Fermi level, states/eV per cell: 29.08
Formation energy without anion corrections, eV per atom: 1.942
Space group: P4/mmm (123)

```
K2NbBiN
1.0
6.809 0.000 0.000
0.000 6.809 0.000
0.000 0.000 5.381
K Nb Bi N
2 1 1 1
direct
0.000 0.500 0.000
0.500 0.000 0.000
0.000 0.000 0.000
0.000 0.000 0.500
0.500 0.500 0.500
```

2.
Material: PmAlPd3
Method: DFT, PBE
State: relaxed

Formation energy, eV/atom: -0.739
Density of states at the Fermi level, states/eV per cell: 3.76
Space group: Imma (74)

```
PmAlPd3
1.0
-2.792 3.944 4.341
2.792 -3.944 4.341
2.792 3.944 -4.341
Pm Al Pd
2 2 6
direct
0.251 0.001 0.250
0.749 0.999 0.750
0.000 0.500 0.500
0.500 0.500 0.000
0.081 0.331 0.750
0.299 0.000 0.799
0.299 0.500 0.299
0.701 0.000 0.201
0.701 0.500 0.701
0.919 0.669 0.250
```